# BaCoAs2Ru PBE optimized geometry
# Space-group type: I-4m2, No. 119
# Formation energy: -0.652 eV/atom
# VASP energy: -6.172 eV/atom
data_BaCoAs2Ru
_chemical_formula_sum 'Ba1 Co1 As2 Ru1'
_symmetry_space_group_name_H-M 'P 1'
_symmetry_Int_Tables_number 1
_cell_length_a 4.0240
_cell_length_b 4.0240
_cell_length_c 7.0654
_cell_angle_alpha 106.55
_cell_angle_beta 106.55
_cell_angle_gamma 90.00
loop_
_symmetry_equiv_pos_as_xyz
'x,y,z'
loop_
_atom_site_label
_atom_site_type_symbol
_atom_site_fract_x
_atom_site_fract_y
_atom_site_fract_z
Co1 Co 0.7500 0.2500 0.5000
As1 As 0.3507 0.3507 0.7014
Ba1 Ba 0.0000 0.0000 0.0000
Ru1 Ru 0.2500 0.7500 0.5000
As2 As 0.6493 0.6493 0.2986



# RbPrGe2O6 PBE optimized geometry
# Space-group type: C2/c, No. 15
# Raw formation energy: -2.16 eV/atom
# VASP energy: -6.635 eV/atom
data_RbPrGe2O6
_chemical_formula_sum 'Rb2 Pr2 Ge4 O12'
_symmetry_space_group_name_H-M 'P 1'
_symmetry_Int_Tables_number 1
_cell_length_a 7.6047
_cell_length_b 7.6047
_cell_length_c 5.8135
_cell_angle_alpha 98.73
_cell_angle_beta 98.73
_cell_angle_gamma 87.44
loop_
_symmetry_equiv_pos_as_xyz
'x,y,z'
loop_
_atom_site_label
_atom_site_type_symbol
_atom_site_fract_x
_atom_site_fract_y
_atom_site_fract_z
Pr1 Pr 0.3820 0.6180 0.7500
O1 O 0.8255 0.8521 0.9697
O2 O 0.9203 0.3810 0.2316
Pr2 Pr 0.6180 0.3820 0.2500
Ge1 Ge 0.6954 0.8613 0.2094
O3 O 0.1479 0.1745 0.5303
O4 O 0.6190 0.0797 0.2684
Ge2 Ge 0.8613 0.6954 0.7094
Rb1 Rb 0.1731 0.8269 0.2500
O5 O 0.1745 0.1479 0.0303
O6 O 0.4545 0.3160 0.8597
O7 O 0.3160 0.4545 0.3597
Ge3 Ge 0.1387 0.3046 0.2906
O8 O 0.3810 0.9203 0.7316
O9 O 0.0797 0.6190 0.7684
O10 O 0.6840 0.5455 0.6403
O11 O 0.5455 0.6840 0.1403
O12 O 0.8521 0.8255 0.4697
Rb2 Rb 0.8269 0.1731 0.7500
Ge4 Ge 0.3046 0.1387 0.7906



# ZnHgMo2 PBE optimized geometry
# Space-group type: Pm, No. 6
# Formation energy: 0.309 eV/atom
# VASP energy: -5.500 eV/atom
data_ZnHgMo2
_chemical_formula_sum 'Zn1 Hg1 Mo2'
_symmetry_space_group_name_H-M 'P 1'
_symmetry_Int_Tables_number 1
_cell_length_a 4.4025
_cell_length_b 2.8174
_cell_length_c 5.4916
_cell_angle_alpha 82.02
_cell_angle_beta 90.00
_cell_angle_gamma 90.00
loop_
_symmetry_equiv_pos_as_xyz
'x,y,z'
loop_
_atom_site_label
_atom_site_type_symbol
_atom_site_fract_x
_atom_site_fract_y
_atom_site_fract_z
Mo1 Mo 0.0000 0.0404 0.0227
Hg1 Hg 0.5000 0.6109 0.7457
Zn1 Zn 0.0000 0.6211 0.4804
Mo2 Mo 0.5000 0.2276 0.2513